# Hf2TaBe2Ir5

An optimized crystal structure of Hf2TaBe2Ir5 (PBE, the Alexandria database).

- Energy of formation from the pure elements: -0.885 eV/atom
- Space-group type: P4/mbm

abc: 9.291 9.291 3.419
angles: 90.00 90.00 90.00
Atoms (fractional coordinates):
Hf  0.175  0.325  0.000
Hf  0.325  0.825  0.000
Hf  0.675  0.175  0.000
Hf  0.825  0.675  0.000
Ta  0.000  0.000  0.000
Ta  0.500  0.500  0.000
Be  0.120  0.620  0.000
Be  0.380  0.120  0.000
Be  0.620  0.880  0.000
Be  0.880  0.380  0.000
Ir  0.000  0.500  0.500
Ir  0.072  0.787  0.500
Ir  0.213  0.072  0.500
Ir  0.287  0.572  0.500
Ir  0.428  0.287  0.500
Ir  0.500  0.000  0.500
Ir  0.572  0.713  0.500
Ir  0.713  0.428  0.500
Ir  0.787  0.928  0.500
Ir  0.928  0.213  0.500

# TmHfBeIr

An optimized crystal structure of TmHfBeIr (PBE, the Alexandria database).

- Energy of formation from the pure elements: -0.417 eV/atom
- Space-group type: F-43m

abc: 4.673 4.673 4.673
angles: 60.00 60.00 60.00
Atoms (fractional coordinates):
Tm  0.000  0.000  0.000
Hf  0.500  0.500  0.500
Be  0.250  0.250  0.250
Ir  0.750  0.750  0.750

# Hf2Be2ZnIr5

An optimized crystal structure of Hf2Be2ZnIr5 (PBE, the Alexandria database).

- Energy of formation from the pure elements: -0.788 eV/atom
- Space-group type: P4/mbm

abc: 9.384 9.384 3.207
angles: 90.00 90.00 90.00
Atoms (fractional coordinates):
Hf  0.176  0.324  0.000
Hf  0.324  0.824  0.000
Hf  0.676  0.176  0.000
Hf  0.824  0.676  0.000
Be  0.123  0.623  0.000
Be  0.377  0.123  0.000
Be  0.623  0.877  0.000
Be  0.877  0.377  0.000
Zn  0.000  0.000  0.000
Zn  0.500  0.500  0.000
Ir  0.000  0.500  0.500
Ir  0.069  0.789  0.500
Ir  0.211  0.069  0.500
Ir  0.289  0.569  0.500
Ir  0.431  0.289  0.500
Ir  0.500  0.000  0.500
Ir  0.569  0.711  0.500
Ir  0.711  0.431  0.500
Ir  0.789  0.931  0.500
Ir  0.931  0.211  0.500

# Hf2ZrBe2Ir5

An optimized crystal structure of Hf2ZrBe2Ir5 (PBE, the Alexandria database).

- Energy of formation from the pure elements: -0.910 eV/atom
- Space-group type: P4/mbm

abc: 9.456 9.456 3.371
angles: 90.00 90.00 90.00
Atoms (fractional coordinates):
Hf  0.175  0.325  0.000
Hf  0.325  0.825  0.000
Hf  0.675  0.175  0.000
Hf  0.825  0.675  0.000
Zr  0.000  0.000  0.000
Zr  0.500  0.500  0.000
Be  0.119  0.619  0.000
Be  0.381  0.119  0.000
Be  0.619  0.881  0.000
Be  0.881  0.381  0.000
Ir  0.000  0.500  0.500
Ir  0.073  0.783  0.500
Ir  0.217  0.073  0.500
Ir  0.283  0.573  0.500
Ir  0.427  0.283  0.500
Ir  0.500  0.000  0.500
Ir  0.573  0.717  0.500
Ir  0.717  0.427  0.500
Ir  0.783  0.927  0.500
Ir  0.927  0.217  0.500

# KHf2Be2

An optimized crystal structure of KHf2Be2 (PBE, the Alexandria database).

- Energy of formation from the pure elements: 0.966 eV/atom
- Energy relative to the lowest polymorph listed for this composition: 0.3715 eV per atom
- Space-group type: I4/mmm

abc: 6.340 6.340 6.340
angles: 137.16 137.16 62.20
Atoms (fractional coordinates):
K  0.000  0.000  0.000
Hf  0.337  0.337  0.000
Hf  0.663  0.663  0.000
Be  0.250  0.750  0.500
Be  0.750  0.250  0.500

# KHf2Be2

An optimized crystal structure of KHf2Be2 (PBE, the Alexandria database).

- Energy of formation from the pure elements: 0.595 eV/atom
- Energy relative to the lowest polymorph listed for this composition: 0.0000 eV per atom
- Space-group type: P4/mbm

abc: 8.357 8.357 2.792
angles: 90.00 90.00 90.00
Atoms (fractional coordinates):
K  0.000  0.000  0.000
K  0.500  0.500  0.000
Hf  0.128  0.372  0.000
Hf  0.372  0.872  0.000
Hf  0.628  0.128  0.000
Hf  0.872  0.628  0.000
Be  0.162  0.662  0.500
Be  0.338  0.162  0.500
Be  0.662  0.838  0.500
Be  0.838  0.338  0.500

# KHfBe2

An optimized crystal structure of KHfBe2 (PBE, the Alexandria database).

- Energy of formation from the pure elements: 1.101 eV/atom
- Energy relative to the lowest polymorph listed for this composition: 0.0000 eV per atom
- Space-group type: Fm-3m

abc: 4.779 4.779 4.779
angles: 60.00 60.00 60.00
Atoms (fractional coordinates):
K  0.000  0.000  0.000
Hf  0.500  0.500  0.500
Be  0.250  0.250  0.250
Be  0.750  0.750  0.750

# KHfBe2

An optimized crystal structure of KHfBe2 (PBE, the Alexandria database).

- Energy of formation from the pure elements: 1.351 eV/atom
- Energy relative to the lowest polymorph listed for this composition: 0.2500 eV per atom
- Space-group type: I-42d

abc: 6.242 6.242 6.242
angles: 106.96 106.96 114.61
Atoms (fractional coordinates):
K  0.000  0.000  0.000
K  0.750  0.250  0.500
Hf  0.250  0.750  0.500
Hf  0.500  0.500  0.000
Be  0.169  0.625  0.044
Be  0.375  0.419  0.544
Be  0.581  0.125  0.956
Be  0.875  0.831  0.456

Values for uncorrected energy, eV per atom, ordered as above
-9.237; -7.170; -8.082; -8.931; -4.725; -5.097; -3.525; -3.275